Record 1
The following is a DFT calculation (PBE) of a relaxed Eu2HS crystal.

Total magnetic moment: 14.99 μB per formula unit
DOS(E_F): 1.52 states/eV/f.u.
Polymorph energy (0 for the lowest one): 284.6 meV per atom

a = 3.5196 Å, b = 3.5196 Å, c = 6.7589 Å
α = 90.00°, β = 90.00°, γ = 90.00°
Atoms (fractional coordinates):
Eu 0.0000 0.0000 0.2487
Eu 0.0000 0.0000 0.7513
H 0.5000 0.5000 0.5000
S 0.5000 0.5000 0.0000


Record 2
The following is a DFT calculation (PBE) of a relaxed Hf5ZrTi3 crystal.

ΔE_f: 0.0248 eV per atom
Total magnetic moment: 0.00 μB per formula unit
DOS(E_F): 7.53 states/eV/f.u.

a = 8.3947 Å, b = 8.3947 Å, c = 6.0990 Å
α = 90.00°, β = 90.00°, γ = 120.00°
Atoms (fractional coordinates):
Hf 0.0000 0.3345 0.2500
Hf 0.0000 0.6655 0.7500
Hf 0.3333 0.6667 0.0000
Hf 0.3333 0.6667 0.5000
Hf 0.3345 0.0000 0.2500
Hf 0.3345 0.3345 0.7500
Hf 0.6655 0.0000 0.7500
Hf 0.6655 0.6655 0.2500
Hf 0.6667 0.3333 0.0000
Hf 0.6667 0.3333 0.5000
Zr 0.0000 0.0000 0.0000
Zr 0.0000 0.0000 0.5000
Ti 0.0000 0.3348 0.7500
Ti 0.0000 0.6652 0.2500
Ti 0.3348 0.0000 0.7500
Ti 0.3348 0.3348 0.2500
Ti 0.6652 0.0000 0.2500
Ti 0.6652 0.6652 0.7500


Record 3
The following is a DFT calculation (PBE) of a relaxed TbTlSeS crystal.

Total magnetic moment: 0.00 μB per formula unit
DOS(E_F): 0.00 states/eV/f.u.
E_form (uncorrected): -1.421 eV/atom

a = 8.1326 Å, b = 8.1326 Å, c = 8.1326 Å
α = 29.25°, β = 29.25°, γ = 29.25°
Atoms (fractional coordinates):
Tb 0.0000 0.0000 0.0000
Tl 0.1710 0.1710 0.1710
Se 0.4061 0.4061 0.4061
S 0.6064 0.6064 0.6064